[1]
A geometry-optimized LuMgMnAg structure, computed with GGA-PBE.

Summary:
The theoretical density is 7450 kg/m³. As for the density of states at the Fermi level: 0.86 states/eV/atom. The value obtained for the uncorrected energy is -18.0 eV per formula unit. Its total moment is 3.87 μB per cell. The symmetry is F-43m.

Unit cell a=4.8507 b=4.8507 c=4.8507 alpha=60.00 beta=60.00 gamma=60.00
Each line ends with the local moment (μB).
Element x y z (fractional)
Lu (0.0000, 0.0000, 0.0000)  0.03
Mn (0.7500, 0.7500, 0.7500)  -3.69
Ag (0.2500, 0.2500, 0.2500)  -0.01
Mg (0.5000, 0.5000, 0.5000)  0.01

***

[2]
A geometry-optimized ErReC structure, computed with GGA-PBE.

Summary:
The theoretical density is 12542 kg/m³. As for the density of states at the Fermi level: 0.67 states/eV/atom. The value obtained for the uncorrected energy is -26.0 eV per formula unit. Its total moment is 0.00 μB per cell. The energy above the most stable polymorph in this dataset is 0.194 eV/atom. The symmetry is P3m1.

Unit cell a=4.4732 b=3.5343 c=3.5343 alpha=120.00 beta=90.00 gamma=90.00
Element x y z (fractional)
Re (0.1666, 0.3333, 0.6667)
Er (0.6641, 0.6667, 0.3333)
C (0.1693, 0.0000, 0.0000)

***

[3]
A geometry-optimized PmHo3S structure, computed with GGA-PBE.

Summary:
The theoretical density is 7508 kg/m³. As for the density of states at the Fermi level: 1.86 states/eV/atom. The value obtained for the uncorrected energy is -25.8 eV per formula unit. Its total moment is 0.00 μB per cell. The symmetry is Pm-3m. The calculation puts the formation energy without anion corrections at -0.64 eV per atom.

Unit cell a=5.2966 b=5.2966 c=5.2966 alpha=90.00 beta=90.00 gamma=90.00
Element x y z (fractional)
Ho (0.0000, 0.5000, 0.0000)
Ho (0.5000, 0.0000, 0.0000)
Ho (0.0000, 0.0000, 0.5000)
S (0.0000, 0.0000, 0.0000)
Pm (0.5000, 0.5000, 0.5000)

***

[4]
A geometry-optimized Na4NpIr3Se8 structure, computed with GGA-PBE.

Summary:
The theoretical density is 7154 kg/m³. As for the density of states at the Fermi level: 0.52 states/eV/atom. The value obtained for the uncorrected energy is -83.6 eV per formula unit. Its total moment is 3.72 μB per cell. The symmetry is C2/m. The calculation puts the formation energy without anion corrections at -0.68 eV per atom.

Unit cell a=7.6739 b=8.2813 c=7.6744 alpha=117.60 beta=120.00 gamma=90.00
Each line ends with the local moment (μB).
Element x y z (fractional)
Se (0.2519, 0.7090, 0.9584)  -0.03
Se (0.2935, 0.2910, 0.0416)  -0.03
Se (0.7266, 0.6787, 0.4531)  0.01
Se (0.7481, 0.2910, 0.0416)  -0.03
Se (0.2516, 0.7090, 0.5032)  -0.03
Se (0.7484, 0.2910, 0.4968)  -0.03
Se (0.2734, 0.3213, 0.5469)  0.01
Se (0.7065, 0.7090, 0.9584)  -0.03
Na (0.5000, 0.0000, 0.0000)  0.00
Na (0.5000, 0.0000, 0.5000)  0.00
Na (0.0000, 0.0000, 0.5000)  0.00
Na (0.0000, 0.0000, 0.0000)  0.00
Ir (0.5000, 0.5000, 0.5000)  0.05
Ir (0.5000, 0.5000, 0.0000)  0.05
Ir (0.0000, 0.5000, 0.5000)  0.05
Np (0.0000, 0.5000, 0.0000)  3.58

***

[5]
A geometry-optimized Np2VS6 structure, computed with GGA-PBE.

Summary:
The theoretical density is 5648 kg/m³. As for the density of states at the Fermi level: 1.73 states/eV/atom. The value obtained for the uncorrected energy is -68.7 eV per formula unit. Its total moment is 14.00 μB per cell. The symmetry is P4_2/mnm. The calculation puts the formation energy without anion corrections at -1.00 eV per atom.

Unit cell a=6.0892 b=6.0892 c=11.3755 alpha=90.00 beta=90.00 gamma=90.00
Each line ends with the local moment (μB).
Element x y z (fractional)
S (0.3073, 0.3073, 0.6490)  -0.15
S (0.7936, 0.2064, 0.5000)  -0.17
S (0.3073, 0.3073, 0.3510)  -0.15
S (0.6927, 0.6927, 0.6490)  -0.15
S (0.7064, 0.7064, 0.0000)  -0.17
S (0.2936, 0.2936, 0.0000)  -0.17
S (0.8073, 0.1927, 0.1490)  -0.15
S (0.2064, 0.7936, 0.5000)  -0.17
S (0.1927, 0.8073, 0.1490)  -0.15
S (0.6927, 0.6927, 0.3510)  -0.15
S (0.1927, 0.8073, 0.8510)  -0.15
S (0.8073, 0.1927, 0.8510)  -0.15
V (0.0000, 0.0000, 0.0000)  1.62
V (0.5000, 0.5000, 0.5000)  1.62
Np (0.5000, 0.5000, 0.8269)  3.11
Np (0.5000, 0.5000, 0.1731)  3.11
Np (0.0000, 0.0000, 0.6731)  3.11
Np (0.0000, 0.0000, 0.3269)  3.11

***

[6]
A geometry-optimized HfP2W2 structure, computed with GGA-PBE.

Summary:
The theoretical density is 11680 kg/m³. As for the density of states at the Fermi level: 0.46 states/eV/atom. The value obtained for the uncorrected energy is -46.9 eV per formula unit. Its total moment is 0.00 μB per cell. The energy above the most stable polymorph in this dataset is 0.000 eV/atom. The symmetry is I4/mmm.

Unit cell a=4.4984 b=4.4984 c=5.3266 alpha=65.02 beta=65.02 gamma=90.00
Element x y z (fractional)
W (0.6386, 0.6386, 0.7227)
W (0.3614, 0.3614, 0.2773)
Hf (0.0000, 0.0000, 0.0000)
P (0.2500, 0.7500, 0.5000)
P (0.7500, 0.2500, 0.5000)

***

[7]
A geometry-optimized ZnTc2Br structure, computed with GGA-PBE.

Summary:
The theoretical density is 8508 kg/m³. As for the density of states at the Fermi level: 0.94 states/eV/atom. The value obtained for the uncorrected energy is -20.5 eV per formula unit. Its total moment is 0.00 μB per cell. The energy above the most stable polymorph in this dataset is 0.654 eV/atom. The symmetry is C2/m. The calculation puts the formation energy without anion corrections at 0.80 eV per atom.

Unit cell a=4.3140 b=5.5234 c=3.1861 alpha=73.89 beta=88.39 gamma=112.48
Element x y z (fractional)
Tc (0.5000, 0.0000, 0.5000)
Tc (0.0000, 0.0000, 0.0000)
Zn (0.0000, 0.5000, 0.5000)
Br (0.5000, 0.5000, 0.0000)

***

[8]
A geometry-optimized Nd4CoIrI2 structure, computed with GGA-PBE.

Summary:
The theoretical density is 7442 kg/m³. As for the density of states at the Fermi level: 0.21 states/eV/atom. The value obtained for the uncorrected energy is -44.3 eV per formula unit. Its total moment is 0.00 μB per cell. The symmetry is P2/m. The calculation puts the formation energy without anion corrections at -0.77 eV per atom.

Unit cell a=4.1401 b=7.1793 c=8.4632 alpha=106.31 beta=90.00 gamma=90.00
Element x y z (fractional)
Nd (0.5000, 0.7654, 0.8153)
Nd (0.0000, 0.7199, 0.1819)
Nd (0.5000, 0.2346, 0.1847)
Nd (0.0000, 0.2801, 0.8181)
Co (0.5000, 0.5000, 0.0000)
Ir (0.0000, 0.0000, 0.0000)
I (0.5000, 0.0000, 0.5000)
I (0.0000, 0.5000, 0.5000)

***

[9]
A geometry-optimized TlCd2Sn2 structure, computed with GGA-PBE.

Summary:
The theoretical density is 8188 kg/m³. As for the density of states at the Fermi level: 0.27 states/eV/atom. The value obtained for the uncorrected energy is -12.0 eV per formula unit. Its total moment is 0.00 μB per cell. The energy above the most stable polymorph in this dataset is 0.001 eV/atom. The symmetry is P-1.

Unit cell a=3.2769 b=5.2018 c=8.3695 alpha=104.71 beta=101.12 gamma=90.25
Element x y z (fractional)
Cd (0.2795, 0.7994, 0.5763)
Cd (0.7205, 0.2007, 0.4237)
Tl (0.0000, 0.0000, 0.0000)
Sn (0.3901, 0.3984, 0.7841)
Sn (0.6100, 0.6017, 0.2159)

***

[10]
A geometry-optimized Mn2GaHW structure, computed with GGA-PBE.

Summary:
The theoretical density is 10717 kg/m³. As for the density of states at the Fermi level: 0.74 states/eV/atom. The value obtained for the uncorrected energy is -37.3 eV per formula unit. Its total moment is 3.93 μB per cell. The symmetry is P4/mmm.

Unit cell a=3.7779 b=3.7779 c=3.9563 alpha=90.00 beta=90.00 gamma=90.00
Each line ends with the local moment (μB).
Element x y z (fractional)
Ga (0.5000, 0.5000, 0.5000)  -0.05
H (0.0000, 0.0000, 0.0000)  -0.01
W (0.0000, 0.0000, 0.5000)  -0.29
Mn (0.0000, 0.5000, 0.0000)  2.10
Mn (0.5000, 0.0000, 0.0000)  2.10

***

[11]
A geometry-optimized Pm6Sn3Pd structure, computed with GGA-PBE.

Summary:
The theoretical density is 7185 kg/m³. As for the density of states at the Fermi level: 0.94 states/eV/atom. The value obtained for the uncorrected energy is -51.2 eV per formula unit. Its total moment is 0.00 μB per cell. The symmetry is P2_1/c.

Unit cell a=6.2339 b=8.9218 c=11.0775 alpha=90.00 beta=88.86 gamma=90.00
Element x y z (fractional)
Pm (0.8718, 0.9566, 0.2381)
Pm (0.0965, 0.3163, 0.0614)
Pm (0.1097, 0.3350, 0.4371)
Pm (0.4035, 0.8163, 0.4386)
Pm (0.6282, 0.4566, 0.2619)
Pm (0.5965, 0.1837, 0.5614)
Pm (0.8903, 0.6650, 0.5629)
Pm (0.1282, 0.0434, 0.7619)
Pm (0.3718, 0.5434, 0.7381)
Pm (0.3903, 0.8350, 0.0629)
Pm (0.9035, 0.6837, 0.9386)
Pm (0.6097, 0.1650, 0.9371)
Sn (0.5947, 0.8812, 0.7438)
Sn (0.0947, 0.6188, 0.2438)
Sn (0.5000, 0.5000, 0.0000)
Sn (0.4053, 0.1188, 0.2562)
Sn (0.0000, 0.0000, 0.5000)
Sn (0.9053, 0.3812, 0.7562)
Pd (0.5000, 0.5000, 0.5000)
Pd (0.0000, 0.0000, 0.0000)

***

[12]
A geometry-optimized Zr2NiI2 structure, computed with GGA-PBE.

Summary:
The theoretical density is 6102 kg/m³. As for the density of states at the Fermi level: 2.02 states/eV/atom. The value obtained for the uncorrected energy is -23.5 eV per formula unit. Its total moment is 0.13 μB per cell. The energy above the most stable polymorph in this dataset is 0.104 eV/atom. The symmetry is I4/mmm. The calculation puts the formation energy without anion corrections at 0.51 eV per atom.

Unit cell a=4.1556 b=4.1556 c=8.3352 alpha=75.56 beta=75.56 gamma=90.00
Element x y z (fractional)
Zr (0.7500, 0.2500, 0.5000)
Zr (0.2500, 0.7500, 0.5000)
Ni (0.0000, 0.0000, 0.0000)
I (0.3891, 0.3891, 0.2218)
I (0.6109, 0.6109, 0.7782)